! EuMgCdCu, optimized geometry, DFT PBE-GGA; values from VASP
! **Final energy**: -4.3291 eV/atom
! **Crystal system**: cubic
! **SG**: F-43m
! **M_tot**: 7.39 μB/f.u.
&SYSTEM
  ibrav = 0, nat = 16, ntyp = 4
/
ATOMIC_SPECIES
Eu 151.96 Eu.upf
Mg 24.30 Mg.upf
Cd 112.41 Cd.upf
Cu 63.55 Cu.upf
ATOMIC_POSITIONS crystal
Eu 0.000 0.000 0.000
Eu 0.000 0.500 0.500
Eu 0.500 0.000 0.500
Eu 0.500 0.500 0.000
Mg 0.000 0.000 0.500
Mg 0.000 0.500 0.000
Mg 0.500 0.000 0.000
Mg 0.500 0.500 0.500
Cd 0.250 0.250 0.750
Cd 0.250 0.750 0.250
Cd 0.750 0.250 0.250
Cd 0.750 0.750 0.750
Cu 0.250 0.250 0.250
Cu 0.250 0.750 0.750
Cu 0.750 0.250 0.750
Cu 0.750 0.750 0.250
CELL_PARAMETERS angstrom
7.176 0.000 0.000
0.000 7.176 0.000
0.000 0.000 7.176